PuFeHg | PBE-GGA | optimized geometry

```
3
Lattice="0.0000 3.2205 3.2205 3.2205 0.0000 3.2205 3.2205 3.2205 0.0000" Properties=species:S:1:pos:R:3 pbc="T T T"
Pu 0.0000 0.0000 0.0000
Fe 4.8307 4.8307 4.8307
Hg 1.6102 1.6102 1.6102
```

Properties
ΔE_f, eV/atom: 1.5824
Calculated total energy, eV per atom: -5.995